(1)
An optimized crystal structure of TbSm6Dy3Er2, computed with PBE.

E_form ... 14 meV per atom
Energy ... -4.6425 eV/atom
V ... 388.21 Å³ per cell

Structure (POSCAR):
```
TbSm6Dy3Er2
1.0
6.2077 -0.0001 0.0096
-3.1024 5.3768 0.0096
-1.0499 -1.8179 11.6244
Sm Er Dy Tb
6 2 3 1
direct
0.5827 0.9164 0.7504
0.4173 0.0836 0.2496
0.2500 0.2500 0.7506
0.9164 0.5827 0.7504
0.0836 0.4173 0.2496
0.7500 0.7500 0.2494
0.3333 0.6667 0.0000
0.6667 0.3333 0.0000
0.5000 0.5000 0.5000
0.8332 0.1668 0.5000
0.1668 0.8332 0.5000
0.0000 0.0000 0.0000
```

(2)
An optimized crystal structure of BaSrMg2Tl4, computed with PBE.

E_form ... -266 meV per atom
Energy ... -2.2983 eV/atom
V ... 243.54 Å³ per cell

Structure (POSCAR):
```
BaSrMg2Tl4
1.0
5.5325 0.0000 0.0000
2.7662 4.7913 0.0000
2.7662 1.5971 9.1874
Mg Tl Sr Ba
2 4 1 1
direct
0.2480 0.2480 0.2559
0.7520 0.7520 0.7441
0.3791 0.3791 0.8628
0.6209 0.6209 0.1372
0.8734 0.8734 0.3797
0.1266 0.1266 0.6203
0.5000 0.5000 0.5000
0.0000 0.0000 0.0000
```